The following is a DFT calculation (PBE) of SnAsPb2 after structural relaxation.

a = 7.591 Å, b = 7.591 Å, c = 7.591 Å
α = 90.00°, β = 90.00°, γ = 90.00°
Fractional positions:
1 Sn 0.000 0.000 0.000
2 Sn 0.000 0.500 0.500
3 Sn 0.500 0.000 0.500
4 Sn 0.500 0.500 0.000
5 As 0.000 0.000 0.500
6 As 0.000 0.500 0.000
7 As 0.500 0.000 0.000
8 As 0.500 0.500 0.500
9 Pb 0.250 0.250 0.250
10 Pb 0.250 0.250 0.750
11 Pb 0.250 0.750 0.250
12 Pb 0.250 0.750 0.750
13 Pb 0.750 0.250 0.250
14 Pb 0.750 0.250 0.750
15 Pb 0.750 0.750 0.250
16 Pb 0.750 0.750 0.750

Results
Density of states at the Fermi level, states/eV per cell: 8.1
Energy of formation, meV/atom: 157
Electronic total energy, eV per atom: -3.86
Magnetic moment, μB/cell: 0.00
SG: Fm-3m, No. 225
ΔE to the lowest computed polymorph, eV per atom: 0.059